Record 1
Below is an optimized crystal structure of BeIr2Rh, with properties calculated at the PBE-GGA level.

Lattice parameters (Å, degrees): 6.020 6.020 6.020 90.00 90.00 90.00
Fractional positions:
1 Be 0.000 0.000 0.000
2 Be 0.000 0.500 0.500
3 Be 0.500 0.000 0.500
4 Be 0.500 0.500 0.000
5 Ir 0.000 0.000 0.500
6 Ir 0.000 0.500 0.000
7 Ir 0.250 0.250 0.750
8 Ir 0.250 0.750 0.250
9 Ir 0.500 0.000 0.000
10 Ir 0.500 0.500 0.500
11 Ir 0.750 0.250 0.250
12 Ir 0.750 0.750 0.750
13 Rh 0.250 0.250 0.250
14 Rh 0.250 0.750 0.750
15 Rh 0.750 0.250 0.750
16 Rh 0.750 0.750 0.250

Values from the calculation:
**Formation energy from the elements**: 0.172 eV/atom
**Final energy**: -7.03 eV/atom


Record 2
Below is an optimized crystal structure of HfAlZn3, with properties calculated at the PBE-GGA level.

Lattice parameters (Å, degrees): 6.349 6.349 9.109 90.00 90.00 116.35
Fractional positions:
1 Hf 0.126 0.874 0.750
2 Hf 0.353 0.647 0.250
3 Hf 0.647 0.353 0.750
4 Hf 0.874 0.126 0.250
5 Al 0.000 0.500 0.000
6 Al 0.000 0.500 0.500
7 Al 0.500 0.000 0.000
8 Al 0.500 0.000 0.500
9 Zn 0.099 0.901 0.096
10 Zn 0.099 0.901 0.404
11 Zn 0.194 0.439 0.750
12 Zn 0.317 0.317 0.000
13 Zn 0.317 0.317 0.500
14 Zn 0.439 0.194 0.250
15 Zn 0.561 0.806 0.750
16 Zn 0.683 0.683 0.000
17 Zn 0.683 0.683 0.500
18 Zn 0.806 0.561 0.250
19 Zn 0.901 0.099 0.596
20 Zn 0.901 0.099 0.904

Values from the calculation:
**ΔE to the lowest computed polymorph**: 0.00 eV per formula unit
**Formation energy from the elements**: -0.112 eV/atom
**Final energy**: -3.62 eV/atom


Record 3
Below is an optimized crystal structure of KBa2ScO4, with properties calculated at the PBE-GGA level.

Lattice parameters (Å, degrees): 7.478 7.478 7.478 121.29 121.15 87.90
Fractional positions:
1 K 0.500 0.000 0.000
2 K 0.500 0.500 0.500
3 Ba 0.000 0.000 0.000
4 Ba 0.000 0.000 0.500
5 Ba 0.000 0.500 0.000
6 Ba 0.500 0.000 0.500
7 Sc 0.000 0.500 0.500
8 Sc 0.500 0.500 0.000
9 O 0.185 0.692 0.493
10 O 0.248 0.272 0.524
11 O 0.248 0.725 0.976
12 O 0.301 0.308 0.993
13 O 0.699 0.692 0.007
14 O 0.752 0.275 0.024
15 O 0.752 0.728 0.476
16 O 0.815 0.308 0.507

Values from the calculation:
**ΔE_f (raw)**: -2.352 eV/atom
**Final energy**: -6.24 eV/atom


Record 4
Below is an optimized crystal structure of YCoW2, with properties calculated at the PBE-GGA level.

Lattice parameters (Å, degrees): 2.942 2.942 27.703 90.00 90.00 120.00
Fractional positions:
1 Y 0.000 0.000 0.000
2 Y 0.333 0.667 0.667
3 Y 0.667 0.333 0.333
4 Co 0.000 0.000 0.247
5 Co 0.333 0.667 0.914
6 Co 0.667 0.333 0.581
7 W 0.000 0.000 0.514
8 W 0.000 0.000 0.763
9 W 0.333 0.667 0.180
10 W 0.333 0.667 0.429
11 W 0.667 0.333 0.096
12 W 0.667 0.333 0.847

Values from the calculation:
**ΔE to the lowest computed polymorph**: 1.39 eV per formula unit
**Formation energy from the elements**: 0.627 eV/atom
**Final energy**: -9.24 eV/atom


Record 5
Below is an optimized crystal structure of CaAlVRu2, with properties calculated at the PBE-GGA level.

Lattice parameters (Å, degrees): 4.596 4.596 4.712 90.00 90.00 90.00
Fractional positions:
1 Ca 0.000 0.000 0.000
2 Al 0.500 0.500 0.500
3 V 0.500 0.500 0.000
4 Ru 0.000 0.500 0.500
5 Ru 0.500 0.000 0.500

Values from the calculation:
**Formation energy from the elements**: 0.700 eV/atom
**Final energy**: -5.98 eV/atom


Record 6
Below is an optimized crystal structure of La5Pm6Pu, with properties calculated at the PBE-GGA level.

Lattice parameters (Å, degrees): 6.359 6.359 12.092 95.05 95.05 120.08
Fractional positions:
1 La 0.000 0.000 0.000
2 La 0.167 0.833 0.500
3 La 0.334 0.666 0.000
4 La 0.666 0.334 0.000
5 La 0.833 0.167 0.500
6 Pm 0.090 0.418 0.254
7 Pm 0.254 0.254 0.746
8 Pm 0.418 0.090 0.254
9 Pm 0.582 0.910 0.746
10 Pm 0.746 0.746 0.254
11 Pm 0.910 0.582 0.746
12 Pu 0.500 0.500 0.500

Values from the calculation:
**Formation energy from the elements**: 0.048 eV/atom
**Final energy**: -5.57 eV/atom


Record 7
Below is an optimized crystal structure of KTiAs3, with properties calculated at the PBE-GGA level.

Lattice parameters (Å, degrees): 4.987 4.987 4.987 90.00 90.00 90.00
Fractional positions:
1 K 0.000 0.000 0.000
2 Ti 0.500 0.500 0.500
3 As 0.000 0.500 0.500
4 As 0.500 0.000 0.500
5 As 0.500 0.500 0.000

Values from the calculation:
**ΔE to the lowest computed polymorph**: 0.00 eV per formula unit
**Formation energy from the elements**: -0.288 eV/atom
**Final energy**: -4.88 eV/atom


Record 8
Below is an optimized crystal structure of Er4SiTe2P, with properties calculated at the PBE-GGA level.

Lattice parameters (Å, degrees): 7.169 4.137 7.384 90.00 108.82 90.00
Fractional positions:
1 Er 0.237 0.000 0.213
2 Er 0.261 0.500 0.784
3 Er 0.739 0.500 0.216
4 Er 0.763 0.000 0.787
5 Si 0.500 0.000 0.000
6 Te 0.000 0.000 0.500
7 Te 0.500 0.500 0.500
8 P 0.000 0.500 0.000

Values from the calculation:
**ΔE_f (raw)**: -1.311 eV/atom
**Final energy**: -5.73 eV/atom


Record 9
Below is an optimized crystal structure of Dy2Zn2Rh5Pb, with properties calculated at the PBE-GGA level.

Lattice parameters (Å, degrees): 9.683 9.683 3.735 90.00 90.00 90.00
Fractional positions:
1 Dy 0.174 0.326 0.000
2 Dy 0.326 0.826 0.000
3 Dy 0.674 0.174 0.000
4 Dy 0.826 0.674 0.000
5 Zn 0.122 0.622 0.000
6 Zn 0.378 0.122 0.000
7 Zn 0.622 0.878 0.000
8 Zn 0.878 0.378 0.000
9 Rh 0.000 0.500 0.500
10 Rh 0.071 0.791 0.500
11 Rh 0.209 0.071 0.500
12 Rh 0.291 0.571 0.500
13 Rh 0.429 0.291 0.500
14 Rh 0.500 0.000 0.500
15 Rh 0.571 0.709 0.500
16 Rh 0.709 0.429 0.500
17 Rh 0.791 0.929 0.500
18 Rh 0.929 0.209 0.500
19 Pb 0.000 0.000 0.000
20 Pb 0.500 0.500 0.000

Values from the calculation:
**Formation energy from the elements**: -0.571 eV/atom
**Final energy**: -5.79 eV/atom


Record 10
Below is an optimized crystal structure of Cd2PdI, with properties calculated at the PBE-GGA level.

Lattice parameters (Å, degrees): 7.291 7.291 7.291 90.00 90.00 90.00
Fractional positions:
1 Cd 0.250 0.250 0.250
2 Cd 0.250 0.250 0.750
3 Cd 0.250 0.750 0.250
4 Cd 0.250 0.750 0.750
5 Cd 0.750 0.250 0.250
6 Cd 0.750 0.250 0.750
7 Cd 0.750 0.750 0.250
8 Cd 0.750 0.750 0.750
9 Pd 0.000 0.000 0.000
10 Pd 0.000 0.500 0.500
11 Pd 0.500 0.000 0.500
12 Pd 0.500 0.500 0.000
13 I 0.000 0.000 0.500
14 I 0.000 0.500 0.000
15 I 0.500 0.000 0.000
16 I 0.500 0.500 0.500

Values from the calculation:
**ΔE_f (raw)**: 0.347 eV/atom
**ΔE to the lowest computed polymorph**: 1.24 eV per formula unit
**Final energy**: -1.80 eV/atom


Record 11
Below is an optimized crystal structure of ZrMnCoTc2, with properties calculated at the PBE-GGA level.

Lattice parameters (Å, degrees): 4.359 4.359 4.713 90.00 90.00 90.00
Fractional positions:
1 Zr 0.000 0.000 0.000
2 Mn 0.000 0.000 0.500
3 Co 0.500 0.500 0.000
4 Tc 0.000 0.500 0.500
5 Tc 0.500 0.000 0.500

Values from the calculation:
**Formation energy from the elements**: 1.028 eV/atom
**Final energy**: -8.08 eV/atom


Record 12
Below is an optimized crystal structure of PrY4Ho, with properties calculated at the PBE-GGA level.

Lattice parameters (Å, degrees): 4.558 4.558 11.134 90.00 90.00 90.00
Fractional positions:
1 Pr 0.000 0.000 0.000
2 Y 0.000 0.500 0.255
3 Y 0.000 0.500 0.745
4 Y 0.500 0.000 0.255
5 Y 0.500 0.000 0.745
6 Ho 0.500 0.500 0.500

Values from the calculation:
**ΔE to the lowest computed polymorph**: 3.57 eV per formula unit
**Formation energy from the elements**: 0.661 eV/atom
**Final energy**: -5.21 eV/atom


Record 13
Below is an optimized crystal structure of Sm4YNi2, with properties calculated at the PBE-GGA level.

Lattice parameters (Å, degrees): 7.569 6.535 8.090 90.00 112.88 90.00
Fractional positions:
1 Sm 0.025 0.250 0.384
2 Sm 0.254 0.750 0.348
3 Sm 0.408 0.007 0.770
4 Sm 0.408 0.493 0.770
5 Sm 0.592 0.507 0.230
6 Sm 0.592 0.993 0.230
7 Sm 0.746 0.250 0.652
8 Sm 0.975 0.750 0.616
9 Y 0.148 0.250 0.029
10 Y 0.852 0.750 0.971
11 Ni 0.253 0.750 0.998
12 Ni 0.377 0.250 0.404
13 Ni 0.623 0.750 0.596
14 Ni 0.747 0.250 0.002

Values from the calculation:
**Formation energy from the elements**: -0.102 eV/atom
**Final energy**: -5.37 eV/atom


Record 14
Below is an optimized crystal structure of Zr2HgSb, with properties calculated at the PBE-GGA level.

Lattice parameters (Å, degrees): 4.257 5.082 8.299 90.00 90.00 90.00
Fractional positions:
1 Zr 0.000 0.000 0.242
2 Zr 0.000 0.000 0.758
3 Zr 0.500 0.500 0.242
4 Zr 0.500 0.500 0.758
5 Hg 0.000 0.500 0.500
6 Hg 0.500 0.000 0.500
7 Sb 0.000 0.500 0.000
8 Sb 0.500 0.000 0.000

Values from the calculation:
**ΔE_f (raw)**: -0.288 eV/atom
**ΔE to the lowest computed polymorph**: 0.26 eV per formula unit
**Final energy**: -5.67 eV/atom


Record 15
Below is an optimized crystal structure of CaY2Co, with properties calculated at the PBE-GGA level.

Lattice parameters (Å, degrees): 3.628 5.715 10.437 90.00 90.00 90.00
Fractional positions:
1 Ca 0.000 0.000 0.000
2 Ca 0.500 0.500 0.500
3 Y 0.000 0.500 0.185
4 Y 0.000 0.500 0.815
5 Y 0.500 0.000 0.315
6 Y 0.500 0.000 0.685
7 Co 0.000 0.000 0.500
8 Co 0.500 0.500 0.000

Values from the calculation:
**ΔE to the lowest computed polymorph**: 0.47 eV per formula unit
**Formation energy from the elements**: 0.023 eV/atom
**Final energy**: -5.49 eV/atom


Record 16
Below is an optimized crystal structure of SrHg2Sb2, with properties calculated at the PBE-GGA level.

Lattice parameters (Å, degrees): 13.676 13.676 5.317 90.00 90.00 162.02
Fractional positions:
1 Sr 0.143 0.857 0.750
2 Sr 0.857 0.143 0.250
3 Hg 0.050 0.950 0.250
4 Hg 0.458 0.542 0.250
5 Hg 0.542 0.458 0.750
6 Hg 0.950 0.050 0.750
7 Sb 0.227 0.773 0.250
8 Sb 0.350 0.650 0.750
9 Sb 0.650 0.350 0.250
10 Sb 0.773 0.227 0.750

Values from the calculation:
**ΔE_f (raw)**: -0.347 eV/atom
**Final energy**: -2.45 eV/atom


Record 17
Below is an optimized crystal structure of LaAlRe2, with properties calculated at the PBE-GGA level.

Lattice parameters (Å, degrees): 3.196 4.718 9.374 90.00 90.00 90.00
Fractional positions:
1 La 0.000 0.000 0.000
2 La 0.500 0.500 0.000
3 Al 0.000 0.000 0.500
4 Al 0.500 0.500 0.500
5 Re 0.000 0.500 0.282
6 Re 0.000 0.500 0.718
7 Re 0.500 0.000 0.282
8 Re 0.500 0.000 0.718

Values from the calculation:
**Formation energy from the elements**: 0.396 eV/atom
**Final energy**: -8.00 eV/atom


Record 18
Below is an optimized crystal structure of Pa2AgSe2S2, with properties calculated at the PBE-GGA level.

Lattice parameters (Å, degrees): 4.457 4.457 11.797 90.00 90.00 120.00
Fractional positions:
1 Pa 0.333 0.667 0.155
2 Pa 0.667 0.333 0.845
3 Ag 0.000 0.000 0.500
4 Se 0.000 0.000 0.288
5 Se 0.000 0.000 0.712
6 S 0.333 0.667 0.917
7 S 0.667 0.333 0.083

Values from the calculation:
**ΔE_f (raw)**: -1.105 eV/atom
**Final energy**: -6.40 eV/atom


Record 19
Below is an optimized crystal structure of GePtSe2N, with properties calculated at the PBE-GGA level.

Lattice parameters (Å, degrees): 5.164 5.164 3.401 90.00 90.00 90.00
Fractional positions:
1 Ge 0.000 0.000 0.000
2 Pt 0.500 0.500 0.500
3 Se 0.000 0.500 0.000
4 Se 0.500 0.000 0.000
5 N 0.000 0.000 0.500

Values from the calculation:
**ΔE_f (raw)**: 0.912 eV/atom
**ΔE to the lowest computed polymorph**: 1.93 eV per formula unit
**Final energy**: -4.28 eV/atom


Record 20
Below is an optimized crystal structure of NaSnHg2H, with properties calculated at the PBE-GGA level.

Lattice parameters (Å, degrees): 5.057 5.057 4.090 90.00 90.00 90.00
Fractional positions:
1 Na 0.000 0.000 0.000
2 Sn 0.500 0.500 0.000
3 Hg 0.000 0.500 0.500
4 Hg 0.500 0.000 0.500
5 H 0.000 0.000 0.500

Values from the calculation:
**ΔE to the lowest computed polymorph**: 0.07 eV per formula unit
**Final energy**: -1.76 eV/atom